Entry from the Alexandria database: an optimized crystal structure of Ce2Ho3ScAs6 (PBE-GGA).

Lattice parameters (Å, degrees): 9.172 9.172 8.211 103.02 103.02 25.91
Sites, in units of the cell vectors:
Ce 0.164 0.164 0.330
Ce 0.836 0.836 0.670
Ho 0.167 0.167 0.835
Ho 0.500 0.500 0.500
Ho 0.833 0.833 0.165
Sc 0.500 0.500 0.000
As 0.002 0.002 0.760
As 0.334 0.334 0.414
As 0.337 0.337 0.923
As 0.663 0.663 0.077
As 0.666 0.666 0.586
As 0.998 0.998 0.240

space-group type = C2/m
raw total energy = -6.438 eV per atom
total magnetic moment = 1.15 μB per formula unit
calculated formation energy = -1451.8 meV/atom

Entry from the Alexandria database: an optimized crystal structure of Ce2HoAs2Se2 (PBE-GGA).

Lattice parameters (Å, degrees): 8.202 8.202 8.202 142.24 142.24 54.46
Sites, in units of the cell vectors:
Ce 0.119 0.119 0.000
Ce 0.881 0.881 0.000
Ho 0.500 0.500 0.000
As 0.000 0.500 0.500
As 0.500 0.000 0.500
Se 0.308 0.308 0.000
Se 0.692 0.692 0.000

space-group type = I4/mmm
raw total energy = -5.853 eV per atom
total magnetic moment = 1.11 μB per formula unit

Entry from the Alexandria database: an optimized crystal structure of CeHoAsSe (PBE-GGA).

Lattice parameters (Å, degrees): 7.228 7.228 7.228 33.33 33.33 33.33
Sites, in units of the cell vectors:
Ce 0.000 0.000 0.000
Ho 0.494 0.494 0.494
As 0.751 0.751 0.751
Se 0.244 0.244 0.244

space-group type = R3m
raw total energy = -6.330 eV per atom
total magnetic moment = 1.02 μB per formula unit

Entry from the Alexandria database: an optimized crystal structure of Ce2SmHoAs4 (PBE-GGA).

Lattice parameters (Å, degrees): 7.244 4.188 7.256 90.00 109.49 90.00
Sites, in units of the cell vectors:
Ce 0.000 0.000 0.000
Ce 0.000 0.500 0.500
Sm 0.500 0.000 0.500
Ho 0.500 0.500 0.000
As 0.250 0.500 0.247
As 0.253 0.000 0.755
As 0.747 0.000 0.245
As 0.750 0.500 0.753

space-group type = P2/m
raw total energy = -6.448 eV per atom
total magnetic moment = 1.26 μB per formula unit
calculated formation energy = -1477.7 meV/atom

Entry from the Alexandria database: an optimized crystal structure of Ce3Sm2HoAs6 (PBE-GGA).

Lattice parameters (Å, degrees): 7.271 7.271 7.263 99.61 99.61 120.00
Sites, in units of the cell vectors:
Ce 0.000 0.000 0.000
Ce 0.332 0.668 0.000
Ce 0.668 0.332 0.000
Sm 0.166 0.834 0.500
Sm 0.834 0.166 0.500
Ho 0.500 0.500 0.500
As 0.088 0.417 0.251
As 0.254 0.254 0.750
As 0.417 0.088 0.251
As 0.583 0.912 0.749
As 0.746 0.746 0.250
As 0.912 0.583 0.749

space-group type = C2/m
raw total energy = -6.455 eV per atom
total magnetic moment = 1.90 μB per formula unit
calculated formation energy = -1478.9 meV/atom

Entry from the Alexandria database: an optimized crystal structure of CeSm2HoAs4 (PBE-GGA).

Lattice parameters (Å, degrees): 7.239 4.186 7.251 90.00 109.40 90.00
Sites, in units of the cell vectors:
Ce 0.000 0.000 0.000
Sm 0.000 0.500 0.500
Sm 0.500 0.000 0.500
Ho 0.500 0.500 0.000
As 0.251 0.500 0.246
As 0.253 0.000 0.756
As 0.747 0.000 0.244
As 0.749 0.500 0.754

space-group type = P2/m
raw total energy = -6.323 eV per atom
total magnetic moment = 0.53 μB per formula unit
calculated formation energy = -1504.3 meV/atom

Entry from the Alexandria database: an optimized crystal structure of CeSm2Ho3As6 (PBE-GGA).

Lattice parameters (Å, degrees): 9.284 9.284 8.313 102.84 102.84 25.90
Sites, in units of the cell vectors:
Ce 0.000 0.000 0.000
Sm 0.333 0.333 0.665
Sm 0.667 0.667 0.335
Ho 0.000 0.000 0.500
Ho 0.332 0.332 0.167
Ho 0.668 0.668 0.833
As 0.165 0.165 0.588
As 0.167 0.167 0.079
As 0.498 0.498 0.252
As 0.502 0.502 0.748
As 0.833 0.833 0.921
As 0.835 0.835 0.412

space-group type = C2/m
raw total energy = -6.264 eV per atom
total magnetic moment = 0.52 μB per formula unit
calculated formation energy = -1513.6 meV/atom

Entry from the Alexandria database: an optimized crystal structure of Sr3Ce2HoAs6 (PBE-GGA).

Lattice parameters (Å, degrees): 7.460 7.460 7.545 99.48 99.48 120.03
Sites, in units of the cell vectors:
Sr 0.000 0.000 0.000
Sr 0.334 0.666 0.000
Sr 0.666 0.334 0.000
Ce 0.167 0.833 0.500
Ce 0.833 0.167 0.500
Ho 0.500 0.500 0.500
As 0.093 0.427 0.280
As 0.240 0.240 0.721
As 0.427 0.093 0.280
As 0.573 0.907 0.720
As 0.760 0.760 0.279
As 0.907 0.573 0.720

space-group type = C2/m
raw total energy = -5.371 eV per atom
total magnetic moment = 0.00 μB per formula unit
calculated formation energy = -1255.6 meV/atom

Entry from the Alexandria database: an optimized crystal structure of SrCe2HoAs4 (PBE-GGA).

Lattice parameters (Å, degrees): 7.317 4.251 7.404 90.00 109.45 90.00
Sites, in units of the cell vectors:
Sr 0.000 0.000 0.000
Ce 0.500 0.000 0.500
Ce 0.500 0.500 0.000
Ho 0.000 0.500 0.500
As 0.253 0.000 0.740
As 0.264 0.500 0.267
As 0.736 0.500 0.733
As 0.747 0.000 0.260

space-group type = P2/m
raw total energy = -5.955 eV per atom
total magnetic moment = 0.98 μB per formula unit
calculated formation energy = -1364.0 meV/atom

Entry from the Alexandria database: an optimized crystal structure of Tb2CeHo3As6 (PBE-GGA).

Lattice parameters (Å, degrees): 9.228 9.228 8.262 102.90 102.90 25.90
Sites, in units of the cell vectors:
Tb 0.168 0.168 0.336
Tb 0.832 0.832 0.664
Ce 0.500 0.500 0.000
Ho 0.167 0.167 0.832
Ho 0.500 0.500 0.500
Ho 0.833 0.833 0.168
As 0.000 0.000 0.253
As 0.000 0.000 0.747
As 0.333 0.333 0.918
As 0.334 0.334 0.415
As 0.666 0.666 0.585
As 0.667 0.667 0.082

space-group type = C2/m
raw total energy = -6.254 eV per atom
total magnetic moment = 0.51 μB per formula unit
calculated formation energy = -1518.6 meV/atom

Entry from the Alexandria database: an optimized crystal structure of TbCe3Ho2As6 (PBE-GGA).

Lattice parameters (Å, degrees): 7.218 7.218 7.204 99.62 99.62 120.00
Sites, in units of the cell vectors:
Tb 0.000 0.000 0.000
Ce 0.166 0.834 0.500
Ce 0.500 0.500 0.500
Ce 0.834 0.166 0.500
Ho 0.333 0.667 0.000
Ho 0.667 0.333 0.000
As 0.082 0.416 0.245
As 0.253 0.253 0.755
As 0.416 0.082 0.245
As 0.584 0.918 0.755
As 0.747 0.747 0.245
As 0.918 0.584 0.755

space-group type = C2/m
raw total energy = -6.437 eV per atom
total magnetic moment = 1.93 μB per formula unit
calculated formation energy = -1479.7 meV/atom

Entry from the Alexandria database: an optimized crystal structure of TbCeHo2As4 (PBE-GGA).

Lattice parameters (Å, degrees): 7.159 4.139 7.165 90.00 109.43 90.00
Sites, in units of the cell vectors:
Tb 0.000 0.000 0.000
Ce 0.000 0.500 0.500
Ho 0.500 0.000 0.500
Ho 0.500 0.500 0.000
As 0.253 0.500 0.251
As 0.254 0.000 0.753
As 0.746 0.000 0.247
As 0.747 0.500 0.749

space-group type = P2/m
raw total energy = -6.297 eV per atom
total magnetic moment = 0.55 μB per formula unit
calculated formation energy = -1507.2 meV/atom